# K5Se (PBE, optimized geometry)
data_K5Se
_cell_length_a 4.560
_cell_length_b 4.560
_cell_length_c 14.328
_cell_angle_alpha 90.00
_cell_angle_beta 90.00
_cell_angle_gamma 90.00
_space_group_name_H-M_alt 'P 4/m m m'
_space_group_IT_number 123
_space_group_name_Hall '-P 4 2'
loop_
_atom_site_label
_atom_site_type_symbol
_atom_site_fract_x
_atom_site_fract_y
_atom_site_fract_z
K1 K 0.000 0.000 0.000
K2 K 0.000 0.000 0.397
K3 K 0.500 0.500 0.227
Se1 Se 0.500 0.500 0.500
# DOS(E_F) = 2.921 states/eV/f.u.
# ρ = 1.5 g/cm³
# E above lowest polymorph = 56 meV/atom
# Uncorrected formation energy = -0.393 eV/atom